# 1
Compound: BaIn3Ag2
Source: Alexandria
Functional: PBE
Structure: relaxed

Cell lengths 18.658, 4.718, 11.508 Å; angles 90.00, 105.62, 90.00 degrees
Space group C2/m (No. 12)
One atom of each set of equivalent atoms:
Ba  0.000  0.000  0.000
Ba  0.158  0.000  0.702
In  0.000  0.500  0.500
In  0.044  0.000  0.352
In  0.125  0.500  0.200
In  0.169  0.500  0.963
In  0.212  0.000  0.378
Ag  0.028  0.500  0.780
Ag  0.145  0.500  0.461
Ag  0.200  0.000  0.121

Results
Crystal system: monoclinic


# 2
Compound: BaIn5Ag2
Source: Alexandria
Functional: PBE
Structure: relaxed

Cell lengths 4.634, 8.221, 11.267 Å; angles 90.00, 90.00, 90.00 degrees
Space group Immm (No. 71)
One atom of each set of equivalent atoms:
Ba  0.000  0.000  0.000
In  0.000  0.192  0.355
In  0.000  0.500  0.000
Ag  0.000  0.500  0.249

Results
Crystal system: orthorhombic


# 3
Compound: BaInAg3
Source: Alexandria
Functional: PBE
Structure: relaxed

Cell lengths 5.996, 9.944, 9.468 Å; angles 90.00, 90.00, 90.00 degrees
Space group Imma (No. 74)
One atom of each set of equivalent atoms:
Ba  0.000  0.250  0.045
In  0.000  0.000  0.500
Ag  0.000  0.250  0.660
Ag  0.250  0.020  0.750

Results
Crystal system: orthorhombic


# 4
Compound: Ba8InAg2
Source: Alexandria
Functional: PBE
Structure: relaxed

Cell lengths 10.744, 15.534, 6.543 Å; angles 90.00, 104.61, 90.00 degrees
Space group Cm (No. 8)
One atom of each set of equivalent atoms:
Ba  0.000  0.000  0.000
Ba  0.061  0.371  0.778
Ba  0.176  0.129  0.600
Ba  0.233  0.500  0.382
Ba  0.367  0.239  0.190
In  0.367  0.000  0.243
Ag  0.367  0.317  0.690

Results
Crystal system: monoclinic


# 5
Compound: Ba3InAg
Source: Alexandria
Functional: PBE
Structure: relaxed

Cell lengths 6.022, 23.479, 6.017 Å; angles 90.00, 90.00, 90.00 degrees
Space group Cmcm (No. 63)
One atom of each set of equivalent atoms:
Ba  0.000  0.076  0.250
Ba  0.000  0.249  0.250
Ba  0.000  0.421  0.250
In  0.000  0.157  0.750
Ag  0.000  0.340  0.750

Results
Crystal system: orthorhombic


# 6
Compound: BaInAg2
Source: Alexandria
Functional: PBE
Structure: relaxed

Cell lengths 8.422, 4.866, 6.520 Å; angles 90.00, 115.90, 90.00 degrees
Space group Cm (No. 8)
One atom of each set of equivalent atoms:
Ba  0.000  0.000  0.000
In  0.199  0.000  0.601
Ag  0.300  0.500  0.406
Ag  0.482  0.000  0.451

Results
Crystal system: monoclinic


# 7
Compound: Ba2In3Ag
Source: Alexandria
Functional: PBE
Structure: relaxed

Cell lengths 8.772, 10.279, 17.908 Å; angles 90.00, 90.00, 90.00 degrees
Space group Fmmm (No. 69)
One atom of each set of equivalent atoms:
Ba  0.242  0.000  0.000
Ba  0.250  0.250  0.250
In  0.000  0.000  0.331
In  0.000  0.248  0.085
Ag  0.000  0.000  0.167

Results
Crystal system: orthorhombic


# 8
Compound: BaInAg4
Source: Alexandria
Functional: PBE
Structure: relaxed

Cell lengths 5.195, 5.195, 7.886 Å; angles 90.00, 90.00, 90.00 degrees
Space group P4/mmm (No. 123)
One atom of each set of equivalent atoms:
Ba  0.000  0.000  0.000
In  0.500  0.500  0.500
Ag  0.000  0.500  0.500
Ag  0.500  0.500  0.166

Results
Crystal system: tetragonal


# 9
Compound: Ba2In3Ag
Source: Alexandria
Functional: PBE
Structure: relaxed

Cell lengths 12.021, 5.183, 8.467 Å; angles 90.00, 132.66, 90.00 degrees
Space group Cm (No. 8)
One atom of each set of equivalent atoms:
Ba  0.000  0.000  0.000
Ba  0.095  0.000  0.599
In  0.208  0.500  0.398
In  0.375  0.000  0.195
In  0.391  0.000  0.583
Ag  0.212  0.500  0.023

Results
Crystal system: monoclinic


# 10
Compound: Ba2In5Ag
Source: Alexandria
Functional: PBE
Structure: relaxed

Cell lengths 5.041, 18.978, 10.423 Å; angles 90.00, 90.00, 90.00 degrees
Space group Cmcm (No. 63)
One atom of each set of equivalent atoms:
Ba  0.000  0.000  0.000
Ba  0.000  0.202  0.250
In  0.000  0.190  0.605
In  0.000  0.355  0.529
In  0.000  0.409  0.250
Ag  0.000  0.443  0.750

Results
Crystal system: orthorhombic


# 11
Compound: Ba3In4Ag2
Source: Alexandria
Functional: PBE
Structure: relaxed

Cell lengths 12.435, 5.085, 9.939 Å; angles 90.00, 111.92, 90.00 degrees
Space group C2/m (No. 12)
One atom of each set of equivalent atoms:
Ba  0.000  0.000  0.000
Ba  0.184  0.500  0.644
In  0.016  0.000  0.356
In  0.243  0.500  0.082
Ag  0.091  0.500  0.264

Results
Crystal system: monoclinic


# 12
Compound: BaIn2Ag9
Source: Alexandria
Functional: PBE
Structure: relaxed

Cell lengths 5.7129, 5.7129, 27.8325 Å; angles 90.00, 90.00, 120.00 degrees
Space group R-3m (No. 166, hexagonal axes)
One atom of each set of equivalent atoms:
Ba  0.0000  0.0000  0.0000
In  0.0000  0.0000  0.1435
Ag  0.0000  0.0000  0.3337
Ag  0.0000  0.0000  0.5000
Ag  0.0048  0.5024  0.9138

Results
Crystal system: trigonal


# 13
Compound: BaIn3Ag8
Source: Alexandria
Functional: PBE
Structure: relaxed

Cell lengths 5.6634, 5.6634, 9.6463 Å; angles 90.00, 90.00, 120.00 degrees
Space group P3m1 (No. 156)
One atom of each set of equivalent atoms:
Ba  0.0000  0.0000  0.0000
In  0.0000  0.0000  0.3872
In  0.6667  0.3333  0.4884
In  0.6667  0.3333  0.8267
Ag  0.1655  0.3309  0.6766
Ag  0.3333  0.6667  0.4336
Ag  0.3333  0.6667  0.9295
Ag  0.5020  0.0040  0.1945

Results
Crystal system: trigonal


# 14
Compound: Ba6InAg2
Source: Alexandria
Functional: PBE
Structure: relaxed

Cell lengths 11.132, 11.841, 12.179 Å; angles 90.00, 90.00, 90.00 degrees
Space group Immm (No. 71)
One atom of each set of equivalent atoms:
Ba  0.000  0.186  0.247
Ba  0.196  0.500  0.166
Ba  0.225  0.325  0.500
In  0.000  0.000  0.000
In  0.000  0.000  0.500
Ag  0.000  0.331  0.000
Ag  0.000  0.500  0.382

Results
Crystal system: orthorhombic


# 15
Compound: Ba2In5Ag4
Source: Alexandria
Functional: PBE
Structure: relaxed

Cell lengths 6.446, 10.758, 17.594 Å; angles 90.00, 90.00, 90.00 degrees
Space group Fmmm (No. 69)
One atom of each set of equivalent atoms:
Ba  0.000  0.000  0.130
In  0.000  0.000  0.500
In  0.250  0.250  0.000
In  0.250  0.250  0.250
Ag  0.000  0.140  0.364

Results
Crystal system: orthorhombic


# 16
Compound: BaIn6Ag4
Source: Alexandria
Functional: PBE
Structure: relaxed

Cell lengths 7.421, 7.421, 10.405 Å; angles 90.00, 90.00, 90.00 degrees
Space group I-42m (No. 121)
One atom of each set of equivalent atoms:
Ba  0.000  0.000  0.000
In  0.000  0.500  0.000
In  0.203  0.203  0.305
Ag  0.157  0.157  0.586

Results
Crystal system: tetragonal


# 17
Compound: Ba2In3Ag4
Source: Alexandria
Functional: PBE
Structure: relaxed

Cell lengths 6.612, 17.604, 8.366 Å; angles 90.00, 90.00, 90.00 degrees
Space group Cmce (No. 64)
One atom of each set of equivalent atoms:
Ba  0.000  0.105  0.095
In  0.000  0.000  0.500
In  0.250  0.233  0.750
Ag  0.000  0.172  0.490
Ag  0.250  0.068  0.750

Results
Crystal system: orthorhombic


# 18
Compound: Ba6In5Ag
Source: Alexandria
Functional: PBE
Structure: relaxed

Cell lengths 5.941, 17.957, 8.650 Å; angles 90.00, 90.00, 90.00 degrees
Space group Cmmm (No. 65)
One atom of each set of equivalent atoms:
Ba  0.000  0.000  0.243
Ba  0.000  0.339  0.249
In  0.000  0.169  0.500
In  0.000  0.179  0.000
In  0.000  0.500  0.500
Ag  0.000  0.500  0.000

Results
Crystal system: orthorhombic


# 19
Compound: BaIn8Ag4
Source: Alexandria
Functional: PBE
Structure: relaxed

Cell lengths 10.321, 10.321, 5.915 Å; angles 90.00, 90.00, 90.00 degrees
Space group I4/mmm (No. 139)
One atom of each set of equivalent atoms:
Ba  0.000  0.000  0.000
In  0.000  0.218  0.500
In  0.000  0.349  0.000
Ag  0.250  0.250  0.250

Results
Crystal system: tetragonal


# 20
Compound: BaInAg2
Source: Alexandria
Functional: PBE
Structure: relaxed

Cell lengths 4.8957, 4.8957, 17.0333 Å; angles 90.00, 90.00, 120.00 degrees
Space group R-3m (No. 166, hexagonal axes)
One atom of each set of equivalent atoms:
Ba  0.0000  0.0000  0.0000
In  0.0000  0.0000  0.5000
Ag  0.0000  0.0000  0.1993

Results
Crystal system: trigonal


# 21
Compound: Ba2In3Ag2
Source: Alexandria
Functional: PBE
Structure: relaxed

Cell lengths 12.321, 4.745, 8.455 Å; angles 90.00, 120.87, 90.00 degrees
Space group C2/m (No. 12)
One atom of each set of equivalent atoms:
Ba  0.133  0.000  0.267
In  0.000  0.500  0.500
In  0.142  0.500  0.938
Ag  0.135  0.000  0.699

Results
Crystal system: monoclinic


# 22
Compound: BaIn2Ag
Source: Alexandria
Functional: PBE
Structure: relaxed

Cell lengths 4.385, 5.906, 9.458 Å; angles 90.00, 90.00, 90.00 degrees
Space group Immm (No. 71)
One atom of each set of equivalent atoms:
Ba  0.000  0.000  0.000
In  0.000  0.500  0.208
Ag  0.000  0.000  0.500

Results
Crystal system: orthorhombic


Number 1: E -104.8 eV for the cell shown, energy of formation from the pure elements -270 meV per atom. Number 2: E -46.3 eV for the cell shown, energy of formation from the pure elements -228 meV per atom. Number 3: E -56.5 eV for the cell shown, energy of formation from the pure elements -183 meV per atom. Number 4: E -50.1 eV for the cell shown, energy of formation from the pure elements -110 meV per atom. Number 5: E -50.6 eV for the cell shown, energy of formation from the pure elements -261 meV per atom. Number 6: E -22.6 eV for the cell shown, energy of formation from the pure elements -236 meV per atom. Number 7: E -137.1 eV for the cell shown, energy of formation from the pure elements -371 meV per atom. Number 8: E -14.5 eV for the cell shown, energy of formation from the pure elements 260 meV per atom. Number 9: E -34.8 eV for the cell shown, energy of formation from the pure elements -412 meV per atom. Number 10: E -93.2 eV for the cell shown, energy of formation from the pure elements -363 meV per atom. Number 11: E -51.8 eV for the cell shown, energy of formation from the pure elements -384 meV per atom. Number 12: E -101.7 eV for the cell shown, energy of formation from the pure elements -71 meV per atom. Number 13: E -33.5 eV for the cell shown, energy of formation from the pure elements -45 meV per atom. Number 14: E -87.9 eV for the cell shown, energy of formation from the pure elements -222 meV per atom. Number 15: E -126.9 eV for the cell shown, energy of formation from the pure elements -254 meV per atom. Number 16: E -61.7 eV for the cell shown, energy of formation from the pure elements -98 meV per atom. Number 17: E -102.6 eV for the cell shown, energy of formation from the pure elements -242 meV per atom. Number 18: E -65.0 eV for the cell shown, energy of formation from the pure elements -368 meV per atom. Number 19: E -74.1 eV for the cell shown, energy of formation from the pure elements -140 meV per atom. Number 20: E -34.2 eV for the cell shown, energy of formation from the pure elements -262 meV per atom. Number 21: E -39.9 eV for the cell shown, energy of formation from the pure elements -310 meV per atom. Number 22: E -22.0 eV for the cell shown, energy of formation from the pure elements -184 meV per atom.